# SrIn2Pt

Crystalline SrIn2Pt at its relaxed geometry (PBE, Alexandria).

Cell: 5.073 5.073 5.073 Å, 60.00 60.00 60.00°
Positions (direct):
1 Sr 0.000 0.000 0.000
2 Pt 0.500 0.500 0.500
3 In 0.250 0.250 0.250
4 In 0.750 0.750 0.750

Calculated values
Symmetry   Fm-3m
Spin magnetization   0.0000 μB per atom
Electronic total energy   -3.66 eV/atom
DFT formation energy   -0.364 eV/atom
DOS(E_F)   1.2 states/eV/cell
Theoretical density   9.215 g/cm³